(1)
Entry from Alexandria: a relaxed structure of K3La3TaO8 (GGA-PBE).

Properties
Spin magnetization, Bohr magnetons per cell: 0.0
Uncorrected formation energy, meV/atom: -2668
SG: R-3m (166)

a = 7.144 Å, b = 7.149 Å, c = 7.617 Å
α = 118.00°, β = 90.00°, γ = 119.99°
Sites, in units of the cell vectors:
La  0.500  0.000  0.500
La  0.000  0.500  0.500
O  0.265  0.530  0.296
Ta  0.000  0.000  0.500
K  0.000  0.000  0.000
K  0.000  0.500  0.000
O  0.196  0.392  0.672
K  0.500  0.500  0.000
O  0.735  0.470  0.704
O  0.804  0.025  0.328
O  0.221  0.025  0.328
La  0.500  0.500  0.500
O  0.779  0.975  0.672
O  0.196  0.975  0.672
O  0.804  0.608  0.328



(2)
Entry from Alexandria: a relaxed structure of KLaTa2O7 (GGA-PBE).

Properties
Spin magnetization, Bohr magnetons per cell: 0.0
Uncorrected formation energy, meV/atom: -2945
SG: Amm2 (38)

a = 11.416 Å, b = 11.416 Å, c = 3.912 Å
α = 90.00°, β = 90.00°, γ = 160.19°
Sites, in units of the cell vectors:
O  0.917  0.083  0.500
O  0.499  0.501  0.500
Ta  0.399  0.601  0.500
O  0.082  0.918  0.500
Ta  0.602  0.398  0.500
O  0.417  0.583  0.000
O  0.582  0.418  0.000
O  0.682  0.318  0.500
K  0.765  0.235  0.000
La  0.001  0.999  0.000
O  0.318  0.682  0.500



(3)
Entry from Alexandria: a relaxed structure of K3LaTa2O9 (GGA-PBE).

Properties
Spin magnetization, Bohr magnetons per cell: 2.1
Uncorrected formation energy, meV/atom: -2417
SG: P-3m1 (164)

a = 6.009 Å, b = 6.009 Å, c = 7.522 Å
α = 90.00°, β = 90.00°, γ = 120.00°
Sites, in units of the cell vectors:
K  0.000  0.000  0.000
Ta  0.667  0.333  0.841
O  0.642  0.821  0.303
O  0.358  0.179  0.697
Ta  0.333  0.667  0.159
K  0.667  0.333  0.320
O  0.500  0.500  0.000
La  0.000  0.000  0.500
O  0.000  0.500  0.000
O  0.821  0.179  0.697
O  0.500  0.000  0.000
K  0.333  0.667  0.680
O  0.179  0.358  0.303
O  0.821  0.642  0.697
O  0.179  0.821  0.303



(4)
Entry from Alexandria: a relaxed structure of K3LaTc2O9 (GGA-PBE).

Properties
Spin magnetization, Bohr magnetons per cell: 0.0
Uncorrected formation energy, meV/atom: -1859
SG: P-3m1 (164)

a = 5.825 Å, b = 5.825 Å, c = 7.409 Å
α = 90.00°, β = 90.00°, γ = 120.00°
Sites, in units of the cell vectors:
O  0.500  0.000  0.000
K  0.667  0.333  0.311
K  0.000  0.000  0.000
Tc  0.333  0.667  0.153
K  0.333  0.667  0.689
La  0.000  0.000  0.500
O  0.819  0.181  0.702
O  0.362  0.181  0.702
O  0.638  0.819  0.298
O  0.181  0.362  0.298
O  0.500  0.500  0.000
O  0.819  0.638  0.702
O  0.181  0.819  0.298
Tc  0.667  0.333  0.847
O  0.000  0.500  0.000



(5)
Entry from Alexandria: a relaxed structure of K4LaTc3O12 (GGA-PBE).

Properties
Spin magnetization, Bohr magnetons per cell: 1.6
Uncorrected formation energy, meV/atom: -1701
SG: Im-3m (229)

a = 7.142 Å, b = 7.142 Å, c = 7.142 Å
α = 109.47°, β = 109.47°, γ = 109.47°
Sites, in units of the cell vectors:
O  0.250  0.500  0.750
O  0.000  0.277  0.277
O  0.277  0.000  0.277
O  0.750  0.250  0.500
O  0.723  0.000  0.723
O  0.250  0.750  0.500
K  0.500  0.500  0.500
O  0.000  0.723  0.723
Tc  0.500  0.500  0.000
O  0.277  0.277  0.000
K  0.500  0.000  0.000
O  0.723  0.723  0.000
Tc  0.500  0.000  0.500
O  0.500  0.250  0.750
La  0.000  0.000  0.000
O  0.500  0.750  0.250
Tc  0.000  0.500  0.500
O  0.750  0.500  0.250
K  0.000  0.000  0.500
K  0.000  0.500  0.000



(6)
Entry from Alexandria: a relaxed structure of KLaTcO5 (GGA-PBE).

Properties
Spin magnetization, Bohr magnetons per cell: 2.0
Uncorrected formation energy, meV/atom: -2107
SG: C2/c (15)

a = 6.545 Å, b = 6.545 Å, c = 8.308 Å
α = 102.67°, β = 102.67°, γ = 106.87°
Sites, in units of the cell vectors:
O  0.076  0.924  0.250
O  0.731  0.589  0.404
O  0.411  0.269  0.096
O  0.870  0.315  0.130
O  0.685  0.130  0.370
Tc  0.674  0.326  0.250
O  0.924  0.076  0.750
O  0.269  0.411  0.596
Tc  0.326  0.674  0.750
La  0.000  0.000  0.000
O  0.130  0.685  0.870
La  0.000  0.000  0.500
K  0.323  0.677  0.250
K  0.677  0.323  0.750
O  0.589  0.731  0.904
O  0.315  0.870  0.630



Total DFT energy (no corrections) (eV per atom)
-7.3074; -8.8032; -7.5207; -6.7640; -6.6967; -7.2546